SrSb2O6 | PBE-GGA | relaxed

Geometry as extended XYZ:
```
9
Lattice="5.355 0.000 0.000 -2.677 4.637 0.000 0.000 0.000 5.452" Properties=species:S:1:pos:R:3 pbc="T T T"
Sr 0.000 0.000 0.000
Sb 0.000 3.092 2.726
Sb 2.677 1.546 2.726
O -1.010 1.749 1.601
O -1.668 2.888 3.851
O 2.020 0.000 1.601
O 1.010 1.749 3.851
O 3.335 0.000 3.851
O 1.668 2.888 1.601
```

SG: P-31m
Raw formation energy: -1.9218 eV per atom
Electronic total energy: -6.33 eV per atom
Volume: 135.4 Å³ per cell